[1]
# Pm4Er4Tm5 | Alexandria | GGA-PBE | optimized geometry
# Energy: -0.1677 Ha/atom
# Formation enthalpy at 0 K: 0.023 eV/atom
# Magnetization: 0.0 μB/f.u.
# SG: I4/m (87)
data_Pm4Er4Tm5
_chemical_formula_sum 'Pm4 Er4 Tm5'
_space_group_name_H-M_alt 'P 1'
_space_group_IT_number 1
_cell_length_a 9.377
_cell_length_b 9.377
_cell_length_c 9.377
_cell_angle_alpha 94.08
_cell_angle_beta 94.08
_cell_angle_gamma 149.05
loop_
_space_group_symop_operation_xyz
'x,y,z'
loop_
_atom_site_label
_atom_site_fract_x
_atom_site_fract_y
_atom_site_fract_z
Pm1 0.079 0.618 0.696
Pm2 0.382 0.079 0.461
Pm3 0.618 0.921 0.539
Pm4 0.921 0.382 0.304
Er1 0.153 0.229 0.382
Er2 0.229 0.847 0.076
Er3 0.771 0.153 0.924
Er4 0.847 0.771 0.618
Tm1 0.000 0.000 0.000
Tm2 0.311 0.461 0.772
Tm3 0.461 0.689 0.150
Tm4 0.539 0.311 0.850
Tm5 0.689 0.539 0.228

=====

[2]
# PmEr6Tm6 | Alexandria | GGA-PBE | optimized geometry
# Energy: -0.1585 Ha/atom
# Formation enthalpy at 0 K: 0.222 eV/atom
# Magnetization: 0.0 μB/f.u.
# SG: P2/m (10)
data_PmEr6Tm6
_chemical_formula_sum 'Pm1 Er6 Tm6'
_space_group_name_H-M_alt 'P 1'
_space_group_IT_number 1
_cell_length_a 6.513
_cell_length_b 10.863
_cell_length_c 6.537
_cell_angle_alpha 90.00
_cell_angle_beta 115.61
_cell_angle_gamma 90.00
loop_
_space_group_symop_operation_xyz
'x,y,z'
loop_
_atom_site_label
_atom_site_fract_x
_atom_site_fract_y
_atom_site_fract_z
Pm1 0.000 0.000 0.000
Er1 0.000 0.336 0.000
Er2 0.000 0.664 0.000
Er3 0.266 0.500 0.740
Er4 0.341 0.000 0.628
Er5 0.659 0.000 0.372
Er6 0.734 0.500 0.260
Tm1 0.000 0.231 0.500
Tm2 0.000 0.769 0.500
Tm3 0.500 0.222 0.000
Tm4 0.500 0.301 0.500
Tm5 0.500 0.699 0.500
Tm6 0.500 0.778 0.000

=====

[3]
# PmEr5Tm5 | Alexandria | GGA-PBE | optimized geometry
# Energy: -0.1561 Ha/atom
# Formation enthalpy at 0 K: 0.290 eV/atom
# Magnetization: 0.7 μB/f.u.
# SG: C2/m (12)
# Excess energy over the best structure of this formula in the dataset: 0 meV per atom
data_PmEr5Tm5
_chemical_formula_sum 'Pm1 Er5 Tm5'
_space_group_name_H-M_alt 'P 1'
_space_group_IT_number 1
_cell_length_a 9.750
_cell_length_b 9.750
_cell_length_c 6.859
_cell_angle_alpha 109.37
_cell_angle_beta 109.37
_cell_angle_gamma 34.79
loop_
_space_group_symop_operation_xyz
'x,y,z'
loop_
_atom_site_label
_atom_site_fract_x
_atom_site_fract_y
_atom_site_fract_z
Pm1 0.000 0.000 0.000
Er1 0.179 0.179 0.935
Er2 0.180 0.180 0.427
Er3 0.500 0.500 0.000
Er4 0.820 0.820 0.573
Er5 0.821 0.821 0.065
Tm1 0.000 0.000 0.500
Tm2 0.331 0.331 0.824
Tm3 0.375 0.375 0.368
Tm4 0.625 0.625 0.632
Tm5 0.669 0.669 0.176

=====

[4]
# PmEr4Tm5 | Alexandria | GGA-PBE | optimized geometry
# Energy: -0.1658 Ha/atom
# Formation enthalpy at 0 K: 0.025 eV/atom
# Magnetization: 0.0 μB/f.u.
# SG: P-1 (2)
# Excess energy over the best structure of this formula in the dataset: 0 meV per atom
data_PmEr4Tm5
_chemical_formula_sum 'Pm1 Er4 Tm5'
_space_group_name_H-M_alt 'P 1'
_space_group_IT_number 1
_cell_length_a 3.520
_cell_length_b 9.283
_cell_length_c 9.902
_cell_angle_alpha 105.51
_cell_angle_beta 90.06
_cell_angle_gamma 100.92
loop_
_space_group_symop_operation_xyz
'x,y,z'
loop_
_atom_site_label
_atom_site_fract_x
_atom_site_fract_y
_atom_site_fract_z
Pm1 0.000 0.000 0.000
Er1 0.399 0.798 0.201
Er2 0.399 0.798 0.698
Er3 0.601 0.202 0.302
Er4 0.601 0.202 0.799
Tm1 0.000 0.000 0.500
Tm2 0.200 0.400 0.600
Tm3 0.201 0.402 0.101
Tm4 0.799 0.598 0.899
Tm5 0.800 0.600 0.400

=====

[5]
# Pm6Er8Tm | Alexandria | GGA-PBE | optimized geometry
# Energy: -0.1658 Ha/atom
# Formation enthalpy at 0 K: 0.121 eV/atom
# Magnetization: 0.0 μB/f.u.
# SG: R-3 (148)
data_Pm6Er8Tm
_chemical_formula_sum 'Pm6 Er8 Tm1'
_space_group_name_H-M_alt 'P 1'
_space_group_IT_number 1
_cell_length_a 8.660
_cell_length_b 8.660
_cell_length_c 8.660
_cell_angle_alpha 62.93
_cell_angle_beta 62.93
_cell_angle_gamma 62.93
loop_
_space_group_symop_operation_xyz
'x,y,z'
loop_
_atom_site_label
_atom_site_fract_x
_atom_site_fract_y
_atom_site_fract_z
Pm1 0.039 0.605 0.725
Pm2 0.275 0.961 0.395
Pm3 0.395 0.275 0.961
Pm4 0.605 0.725 0.039
Pm5 0.725 0.039 0.605
Pm6 0.961 0.395 0.275
Er1 0.077 0.077 0.077
Er2 0.219 0.611 0.247
Er3 0.247 0.219 0.611
Er4 0.389 0.753 0.781
Er5 0.611 0.247 0.219
Er6 0.753 0.781 0.389
Er7 0.781 0.389 0.753
Er8 0.923 0.923 0.923
Tm1 0.500 0.500 0.500

=====

[6]
# PmEr5Tm12 | Alexandria | GGA-PBE | optimized geometry
# Energy: -0.1659 Ha/atom
# Formation enthalpy at 0 K: -0.001 eV/atom
# Magnetization: 0.0 μB/f.u.
# SG: C2/m (12)
data_PmEr5Tm12
_chemical_formula_sum 'Pm1 Er5 Tm12'
_space_group_name_H-M_alt 'P 1'
_space_group_IT_number 1
_cell_length_a 6.117
_cell_length_b 6.117
_cell_length_c 16.995
_cell_angle_alpha 93.45
_cell_angle_beta 93.45
_cell_angle_gamma 120.00
loop_
_space_group_symop_operation_xyz
'x,y,z'
loop_
_atom_site_label
_atom_site_fract_x
_atom_site_fract_y
_atom_site_fract_z
Pm1 0.000 0.000 0.000
Er1 0.166 0.834 0.500
Er2 0.333 0.667 0.000
Er3 0.500 0.500 0.500
Er4 0.667 0.333 0.000
Er5 0.834 0.166 0.500
Tm1 0.056 0.722 0.168
Tm2 0.111 0.111 0.333
Tm3 0.223 0.556 0.667
Tm4 0.278 0.944 0.832
Tm5 0.391 0.391 0.168
Tm6 0.444 0.777 0.333
Tm7 0.556 0.223 0.667
Tm8 0.609 0.609 0.832
Tm9 0.722 0.056 0.168
Tm10 0.777 0.444 0.333
Tm11 0.889 0.889 0.667
Tm12 0.944 0.278 0.832

=====

[7]
# Pm4ErTm2 | Alexandria | GGA-PBE | optimized geometry
# Energy: -0.1686 Ha/atom
# Formation enthalpy at 0 K: 0.056 eV/atom
# Magnetization: 0.0 μB/f.u.
# SG: Fdd2 (43)
# Excess energy over the best structure of this formula in the dataset: 0 meV per atom
data_Pm4ErTm2
_chemical_formula_sum 'Pm8 Er2 Tm4'
_space_group_name_H-M_alt 'P 1'
_space_group_IT_number 1
_cell_length_a 12.466
_cell_length_b 6.756
_cell_length_c 13.433
_cell_angle_alpha 67.08
_cell_angle_beta 29.95
_cell_angle_gamma 82.97
loop_
_space_group_symop_operation_xyz
'x,y,z'
loop_
_atom_site_label
_atom_site_fract_x
_atom_site_fract_y
_atom_site_fract_z
Pm1 0.017 0.983 0.123
Pm2 0.127 0.373 0.233
Pm3 0.373 0.127 0.267
Pm4 0.458 0.604 0.255
Pm5 0.567 0.995 0.646
Pm6 0.604 0.458 0.683
Pm7 0.983 0.017 0.877
Pm8 0.995 0.567 0.792
Er1 0.495 0.495 0.505
Er2 0.745 0.745 0.755
Tm1 0.066 0.548 0.002
Tm2 0.248 0.866 0.184
Tm3 0.548 0.066 0.384
Tm4 0.866 0.248 0.702

=====

[8]
# PmEr2Tm | Alexandria | GGA-PBE | optimized geometry
# Energy: -0.1677 Ha/atom
# Formation enthalpy at 0 K: 0.025 eV/atom
# Magnetization: 0.0 μB/f.u.
# SG: P4/mmm (123)
# Excess energy over the best structure of this formula in the dataset: 15 meV per atom
data_PmEr2Tm
_chemical_formula_sum 'Pm1 Er2 Tm1'
_space_group_name_H-M_alt 'P 1'
_space_group_IT_number 1
_cell_length_a 4.998
_cell_length_b 4.998
_cell_length_c 5.007
_cell_angle_alpha 90.00
_cell_angle_beta 90.00
_cell_angle_gamma 90.00
loop_
_space_group_symop_operation_xyz
'x,y,z'
loop_
_atom_site_label
_atom_site_fract_x
_atom_site_fract_y
_atom_site_fract_z
Pm1 0.000 0.000 0.000
Er1 0.000 0.500 0.500
Er2 0.500 0.000 0.500
Tm1 0.500 0.500 0.000